Material: DyHoTlCo2
Method: DFT, GGA-PBE
State: optimized geometry

Unit cell a=3.8317 b=7.2728 c=7.2728 alpha=30.44 beta=90.00 gamma=90.00
Last column: nearest neighbours and their distance in Å.
Fractional coordinates of all 5 atoms:
Dy (0.0000, 0.0000, 0.0000)  6 Co 2.86-2.88
Ho (0.0000, 0.7190, 0.7190)  6 Co 2.86-2.88
Tl (0.5000, 0.3594, 0.3594)  2 Co 2.89-2.90
Co (0.5000, 0.1534, 0.1534)  2 Co 2.27
Co (0.5000, 0.5659, 0.5659)  2 Co 2.27

Output
Crystal system = orthorhombic
Magnetic moment = 1.325 μB/f.u.
Space group = Amm2, No. 38
Energy = -5.45 eV/atom

Material: CdHgSO
Method: DFT, GGA-PBE
State: optimized geometry

Unit cell a=4.0161 b=4.0161 c=10.0337 alpha=90.00 beta=90.00 gamma=90.00
Last column: nearest neighbours and their distance in Å.
Fractional coordinates of all 8 atoms:
Cd (0.2500, 0.2500, 0.1326)  5 S 2.72-2.84
Cd (0.7500, 0.7500, 0.8674)  5 S 2.72-2.84
Hg (0.2500, 0.2500, 0.6039)  4 O 2.26
Hg (0.7500, 0.7500, 0.3961)  4 O 2.26
S (0.2500, 0.2500, 0.8611)  1 Hg 2.58, 5 Cd 2.72-2.84
S (0.7500, 0.7500, 0.1389)  1 Hg 2.58, 5 Cd 2.72-2.84
O (0.2500, 0.7500, 0.5000)  4 Hg 2.26
O (0.7500, 0.2500, 0.5000)  4 Hg 2.26

Output
Crystal system = tetragonal
Space group = P4/nmm, No. 129
Energy = -2.70 eV/atom

Material: HfCuBW
Method: DFT, GGA-PBE
State: optimized geometry

Unit cell a=4.3210 b=4.3210 c=4.3210 alpha=60.00 beta=60.00 gamma=60.00
Last column: nearest neighbours and their distance in Å.
Fractional coordinates of all 4 atoms:
Hf (0.0000, 0.0000, 0.0000)  4 W 2.65, 4 Cu 2.65
Cu (0.7500, 0.7500, 0.7500)  4 Hf 2.65, 4 B 2.65
B (0.5000, 0.5000, 0.5000)  4 W 2.65, 4 Cu 2.65
W (0.2500, 0.2500, 0.2500)  4 Hf 2.65, 4 B 2.65

Output
Crystal system = cubic
Magnetic moment = 0.005 μB/f.u.
Space group = F-43m, No. 216
Energy = -7.41 eV/atom

Material: DyTmAl2
Method: DFT, GGA-PBE
State: optimized geometry

Unit cell a=5.0549 b=6.7362 c=6.7362 alpha=125.52 beta=90.00 gamma=90.00
Last column: nearest neighbours and their distance in Å.
Fractional coordinates of all 8 atoms:
Dy (0.2500, 0.1949, 0.8051)  8 Al 3.11-3.45, 3 Tm 3.17-3.27
Dy (0.7500, 0.8051, 0.1949)  8 Al 3.11-3.45, 3 Tm 3.17-3.27
Tm (0.2500, 0.6809, 0.8318)  5 Al 3.06-3.15, 2 Tm 3.11, 3 Dy 3.17-3.27
Tm (0.7500, 0.8318, 0.6809)  5 Al 3.06-3.15, 2 Tm 3.11, 3 Dy 3.17-3.27
Al (0.2500, 0.2019, 0.3209)  5 Al 2.90-3.12, 2 Tm 3.06-3.12
Al (0.2500, 0.6487, 0.3460)  3 Al 2.91-3.12, 4 Dy 3.11-3.14, 3 Tm 3.12-3.15
Al (0.7500, 0.3209, 0.2019)  5 Al 2.90-3.12, 2 Tm 3.06-3.12
Al (0.7500, 0.3460, 0.6487)  3 Al 2.91-3.12, 4 Dy 3.11-3.14, 3 Tm 3.12-3.15

Output
Crystal system = orthorhombic
Magnetic moment = 0.004 μB/f.u.
Space group = Ama2, No. 40
Energy = -4.33 eV/atom